Density functional theory data (PBE-GGA) for crystalline Dy6Al43Mo4 at its relaxed geometry.

Its calculated total energy is -248.8 eV per formula unit. As for the total magnetization: 0.0 Bohr magnetons per cell.

a b c (Å): 10.9980 10.9980 17.7420
angles (deg): 90.00 90.00 120.00
Closest atoms and distances in Å follow each position.
Space group P6_3/mcm (No. 193)
One atom of each set of equivalent atoms:
Dy: 0.0000 0.4689 0.0953 x12  15 Al 3.06-3.42
Al: 0.0000 0.1474 0.7500 x6  2 Mo 2.58, 6 Al 2.81-2.83
Al: 0.0000 0.1596 0.1146 x12  2 Mo 2.69, 7 Al 2.73-2.94
Al: 0.0000 0.2542 0.5303 x12  9 Al 2.73-3.00, 1 Mo 2.85
Al: 0.1475 0.5516 0.2500 x12  1 Mo 2.68, 7 Al 2.74-2.84
Al: 0.1577 0.3940 0.6638 x24  7 Al 2.72-3.00, 1 Mo 2.72
Al: 0.2470 0.4940 0.0000 x12  6 Al 2.73-2.85
Al: 0.3333 0.6667 0.1257 x8  9 Al 2.72-2.84
Mo: 0.0000 0.0000 0.0000 x2  12 Al 2.69-2.85
Mo: 0.0000 0.2703 0.2500 x6  10 Al 2.58-2.72